Record 1
# Ti5In3

Crystalline Ti5In3 at its relaxed geometry (PBE, Alexandria via LeMat-Bulk).

- symmetry = Fmmm, No. 69
- DFT formation energy (eV/atom) = -0.104
- total moment (μB/f.u.) = 0.000

a b c (Å): 4.888 4.888 7.085
angles (deg): 106.87 106.87 99.14
Sites, in units of the cell vectors:
Ti1 0.619 0.119 0.237
Ti2 0.000 0.000 0.000
Ti3 0.381 0.881 0.763
Ti4 0.119 0.619 0.237
Ti5 0.881 0.381 0.763
In1 0.757 0.757 0.515
In2 0.500 0.500 0.000
In3 0.243 0.243 0.485


Record 2
# Ti5In

Crystalline Ti5In at its relaxed geometry (PBE, Alexandria via LeMat-Bulk).

- symmetry = Amm2, No. 38
- DFT formation energy (eV/atom) = -0.025
- total moment (μB/f.u.) = 0.000

a b c (Å): 4.809 2.965 7.721
angles (deg): 78.93 90.00 90.00
Sites, in units of the cell vectors:
Ti1 0.000 0.328 0.345
Ti2 0.000 0.667 0.666
Ti3 0.500 0.444 0.113
Ti4 0.500 0.777 0.447
Ti5 0.500 0.118 0.763
In1 0.000 0.000 0.000


Record 3
# Ti2In

Crystalline Ti2In at its relaxed geometry (PBE, Alexandria via LeMat-Bulk).

- symmetry = Fd-3m, No. 227
- DFT formation energy (eV/atom) = 0.113
- total moment (μB/f.u.) = 0.000

a b c (Å): 5.441 5.441 5.441
angles (deg): 60.00 60.00 60.00
Sites, in units of the cell vectors:
Ti1 0.125 0.625 0.625
Ti2 0.625 0.125 0.625
Ti3 0.625 0.625 0.625
Ti4 0.625 0.625 0.125
In1 0.000 0.000 0.000
In2 0.250 0.250 0.250


Record 4
# Ti7In3

Crystalline Ti7In3 at its relaxed geometry (PBE, Alexandria via LeMat-Bulk).

- symmetry = C2/m, No. 12
- DFT formation energy (eV/atom) = -0.100
- total moment (μB/f.u.) = 0.001

a b c (Å): 4.166 5.946 7.835
angles (deg): 100.84 105.42 90.00
Sites, in units of the cell vectors:
Ti1 0.000 0.500 0.000
Ti2 0.799 0.910 0.597
Ti3 0.201 0.090 0.403
Ti4 0.600 0.291 0.200
Ti5 0.400 0.709 0.800
Ti6 0.593 0.797 0.186
Ti7 0.407 0.203 0.814
In1 0.000 0.000 0.000
In2 0.804 0.397 0.607
In3 0.196 0.603 0.393


Record 5
# Ti8In

Crystalline Ti8In at its relaxed geometry (PBE, Alexandria via LeMat-Bulk).

- symmetry = I4/mmm, No. 139
- DFT formation energy (eV/atom) = -0.040
- total moment (μB/f.u.) = 0.000

a b c (Å): 3.981 6.633 6.633
angles (deg): 84.83 72.54 72.54
Sites, in units of the cell vectors:
Ti1 0.328 0.000 0.344
Ti2 0.672 0.000 0.656
Ti3 0.661 0.339 0.339
Ti4 0.328 0.344 0.000
Ti5 0.000 0.339 0.661
Ti6 0.672 0.656 0.000
Ti7 0.339 0.661 0.661
Ti8 0.000 0.661 0.339
In1 0.000 0.000 0.000


Record 6
# Ti13In2

Crystalline Ti13In2 at its relaxed geometry (PBE, Alexandria via LeMat-Bulk).

- symmetry = R-3m, No. 166
- DFT formation energy (eV/atom) = 0.497
- total moment (μB/f.u.) = 3.654

a b c (Å): 7.195 7.195 8.317
angles (deg): 64.37 64.37 60.00
Last column: magnetic moment on the atom in μB.
Sites, in units of the cell vectors:
Ti1 0.500 0.500 0.500  -0.10
Ti2 0.381 0.006 0.233  0.47
Ti3 0.381 0.381 0.233  0.47
Ti4 0.006 0.381 0.233  0.47
Ti5 0.994 0.619 0.767  0.47
Ti6 0.619 0.994 0.767  0.47
Ti7 0.619 0.619 0.767  0.47
Ti8 0.258 0.883 0.601  0.05
Ti9 0.258 0.258 0.601  0.05
Ti10 0.883 0.258 0.601  0.05
Ti11 0.117 0.742 0.399  0.05
Ti12 0.742 0.117 0.399  0.05
Ti13 0.742 0.742 0.399  0.05
In1 0.366 0.366 0.901  0.00
In2 0.634 0.634 0.099  0.00


Record 7
# Ti5In6

Crystalline Ti5In6 at its relaxed geometry (PBE, Alexandria via LeMat-Bulk).

- symmetry = Immm, No. 71
- DFT formation energy (eV/atom) = -0.074
- total moment (μB/f.u.) = 0.000

a b c (Å): 4.574 7.258 7.939
angles (deg): 117.20 106.74 90.00
Sites, in units of the cell vectors:
Ti1 0.000 0.500 0.000
Ti2 0.650 0.650 0.300
Ti3 0.350 0.350 0.700
Ti4 0.298 0.798 0.596
Ti5 0.702 0.202 0.404
In1 0.500 0.796 0.000
In2 0.500 0.204 0.000
In3 0.847 0.067 0.694
In4 0.847 0.627 0.694
In5 0.153 0.933 0.306
In6 0.153 0.373 0.306


Record 8
# Ti5In

Crystalline Ti5In at its relaxed geometry (PBE, Alexandria via LeMat-Bulk).

- symmetry = Cmmm, No. 65
- DFT formation energy (eV/atom) = -0.073
- total moment (μB/f.u.) = 0.002

a b c (Å): 4.104 4.144 6.636
angles (deg): 108.19 90.00 90.00
Sites, in units of the cell vectors:
Ti1 0.000 0.672 0.343
Ti2 0.000 0.328 0.657
Ti3 0.500 0.500 0.000
Ti4 0.500 0.172 0.343
Ti5 0.500 0.828 0.657
In1 0.000 0.000 0.000


Record 9
# Ti11In3

Crystalline Ti11In3 at its relaxed geometry (PBE, Alexandria via LeMat-Bulk).

- symmetry = Immm, No. 71
- DFT formation energy (eV/atom) = 0.058
- total moment (μB/f.u.) = 0.498

a b c (Å): 4.790 7.971 7.971
angles (deg): 103.98 72.52 72.52
Last column: magnetic moment on the atom in μB.
Sites, in units of the cell vectors:
Ti1 0.000 0.500 0.500  0.23
Ti2 0.500 0.300 0.700  -0.01
Ti3 0.500 0.700 0.300  -0.01
Ti4 0.674 0.928 0.725  0.03
Ti5 0.326 0.072 0.275  0.03
Ti6 0.674 0.725 0.928  0.03
Ti7 0.326 0.275 0.072  0.03
Ti8 0.838 0.940 0.383  0.02
Ti9 0.162 0.060 0.617  0.02
Ti10 0.838 0.383 0.940  0.02
Ti11 0.162 0.617 0.060  0.02
In1 0.000 0.000 0.000  0.00
In2 0.678 0.322 0.322  0.00
In3 0.322 0.678 0.678  0.00


Record 10
# Ti2In

Crystalline Ti2In at its relaxed geometry (PBE, Alexandria via LeMat-Bulk).

- symmetry = I4/mmm, No. 139
- DFT formation energy (eV/atom) = -0.142
- total moment (μB/f.u.) = 0.000

a b c (Å): 3.346 3.346 5.509
angles (deg): 107.68 107.68 90.00
Sites, in units of the cell vectors:
Ti1 0.675 0.675 0.351
Ti2 0.325 0.325 0.649
In1 0.000 0.000 0.000


Record 11
# Ti2TlIn

Crystalline Ti2TlIn at its relaxed geometry (PBE, Alexandria via LeMat-Bulk).

- symmetry = I-42d, No. 122
- DFT formation energy (eV/atom) = 0.339
- total moment (μB/f.u.) = 0.000

a b c (Å): 7.643 7.643 6.159
angles (deg): 51.65 51.65 90.00
Sites, in units of the cell vectors:
Tl1 0.000 0.000 0.000
Tl2 0.750 0.250 0.500
Ti1 0.626 0.125 0.250
Ti2 0.124 0.625 0.250
Ti3 0.375 0.374 0.750
Ti4 0.875 0.876 0.750
In1 0.500 0.500 0.000
In2 0.250 0.750 0.500


Record 12
# Ti7Tl2In2

Crystalline Ti7Tl2In2 at its relaxed geometry (PBE, Alexandria via LeMat-Bulk).

- symmetry = Immm, No. 71
- DFT formation energy (eV/atom) = 0.183
- total moment (μB/f.u.) = 4.493

a b c (Å): 7.115 4.815 7.115
angles (deg): 70.21 96.46 109.79
Last column: magnetic moment on the atom in μB.
Sites, in units of the cell vectors:
Ti1 0.998 0.193 0.612  0.81
Ti2 0.612 0.807 0.998  0.81
Ti3 0.002 0.807 0.388  0.81
Ti4 0.388 0.193 0.002  0.81
Ti5 0.000 0.000 0.000  0.14
Ti6 0.500 0.749 0.500  0.08
Ti7 0.500 0.251 0.500  0.08
Tl1 0.775 0.275 0.225  0.00
Tl2 0.225 0.725 0.775  0.00
In1 0.775 0.500 0.775  -0.01
In2 0.225 0.500 0.225  -0.01


| no. | E_tot (eV per atom) |
| --- | --- |
| 1 | -6.0648 |
| 2 | -7.0604 |
| 3 | -6.0631 |
| 4 | -6.4481 |
| 5 | -7.3622 |
| 6 | -6.7105 |
| 7 | -5.1559 |
| 8 | -7.1087 |
| 9 | -6.7315 |
| 10 | -6.3182 |
| 11 | -4.8848 |
| 12 | -5.7694 |